Entry 1:
Here is crystalline HfScAsSe2 at its relaxed geometry from Alexandria via LeMat-Bulk. Energies are from PBE-GGA.

Calculated values
Total moment   0.0 μB/cell
Crystal system   tetragonal
Energy   -5.652 eV/atom

Unit cell a=4.9538 b=4.9538 c=5.1120 alpha=90.00 beta=90.00 gamma=90.00
Space group P4/mmm (No. 123)
One atom of each set of equivalent atoms:
Hf1 0.0000 0.0000 0.0000 [1 per cell]
Sc1 0.5000 0.5000 0.5000 [1 per cell]
As1 0.5000 0.5000 0.0000 [1 per cell]
Se1 0.0000 0.5000 0.5000 [2 per cell]

Entry 2:
Here is crystalline Pm7AlBr12 at its relaxed geometry from Alexandria via LeMat-Bulk. Energies are from PBE-GGA.

Calculated values
Total moment   0.0 μB/cell
Crystal system   trigonal
Energy   -4.418 eV/atom

Unit cell a=15.2525 b=15.2525 c=10.2075 alpha=90.00 beta=90.00 gamma=120.00
Space group R-3 (No. 148, hexagonal axes)
One atom of each set of equivalent atoms:
Pm1 0.0000 0.0000 0.0000 [3 per cell]
Pm2 0.0481 0.8761 0.3409 [18 per cell]
Al1 0.0000 0.0000 0.5000 [3 per cell]
Br1 0.0249 0.4366 0.1650 [18 per cell]
Br2 0.0497 0.8702 0.8410 [18 per cell]

Entry 3:
Here is crystalline Li4Zn3Ni2 at its relaxed geometry from Alexandria via LeMat-Bulk. Energies are from PBE-GGA.

Calculated values
Formation enthalpy at 0 K   -1.4 eV per formula unit
Total moment   0.0 μB/cell
Crystal system   monoclinic

Unit cell a=9.2672 b=4.1897 c=7.6012 alpha=90.00 beta=126.46 gamma=90.00
Space group C2/m (No. 12)
One atom of each set of equivalent atoms:
Li1 0.1553 0.0000 0.1593 [4 per cell]
Li2 0.2153 0.5000 0.3813 [4 per cell]
Zn1 0.0000 0.5000 0.5000 [2 per cell]
Zn2 0.1237 0.5000 0.9365 [4 per cell]
Ni1 0.0597 0.0000 0.7060 [4 per cell]

Entry 4:
Here is crystalline Ca5Ga2Pb5 at its relaxed geometry from Alexandria via LeMat-Bulk. Energies are from PBE-GGA.

Calculated values
Formation enthalpy at 0 K   -4.9 eV per formula unit
Total moment   0.0 μB/cell
Crystal system   monoclinic

Unit cell a=16.6966 b=4.8737 c=11.0000 alpha=90.00 beta=128.07 gamma=90.00
Space group C2/m (No. 12)
One atom of each set of equivalent atoms:
Ca1 0.0000 0.0000 0.0000 [2 per cell]
Ca2 0.1142 0.0000 0.4200 [4 per cell]
Ca3 0.1775 0.0000 0.8294 [4 per cell]
Ga1 0.1397 0.5000 0.2174 [4 per cell]
Pb1 0.0000 0.5000 0.5000 [2 per cell]
Pb2 0.0585 0.5000 0.8553 [4 per cell]
Pb3 0.2450 0.5000 0.7025 [4 per cell]

Entry 5:
Here is crystalline DyAgRu at its relaxed geometry from Alexandria via LeMat-Bulk. Energies are from PBE-GGA.

Calculated values
Formation enthalpy at 0 K   -0.2 eV per formula unit
Total moment   0.0 μB/cell
Crystal system   monoclinic

Unit cell a=5.2987 b=4.6654 c=5.4799 alpha=90.00 beta=114.95 gamma=90.00
Space group P2_1/m (No. 11)
One atom of each set of equivalent atoms:
Dy1 0.0107 0.2500 0.2519 [2 per cell]
Ag1 0.3893 0.2500 0.8586 [2 per cell]
Ru1 0.4337 0.7500 0.5622 [2 per cell]

Entry 6:
Here is crystalline ScV2Sb2 at its relaxed geometry from Alexandria via LeMat-Bulk. Energies are from PBE-GGA.

Calculated values
Total moment   0.0 μB/cell
Crystal system   tetragonal
Energy   -6.690 eV/atom

Unit cell a=7.5846 b=7.5846 c=3.3265 alpha=90.00 beta=90.00 gamma=90.00
Space group P4/mbm (No. 127)
One atom of each set of equivalent atoms:
Sc1 0.0000 0.0000 0.0000 [2 per cell]
V1 0.1348 0.3652 0.5000 [4 per cell]
Sb1 0.1538 0.6538 0.0000 [4 per cell]

Entry 7:
Here is crystalline LiPuIn2I6 at its relaxed geometry from Alexandria via LeMat-Bulk. Energies are from PBE-GGA.

Calculated values
Total moment   15.0 μB/cell
Crystal system   trigonal
Energy   -3.926 eV/atom

Unit cell a=8.3194 b=8.3194 c=21.1762 alpha=90.00 beta=90.00 gamma=120.00
Space group R3 (No. 146, hexagonal axes)
One atom of each set of equivalent atoms:
Li1 0.0000 0.0000 0.0000 [3 per cell]
Pu1 0.0000 0.0000 0.4951 [3 per cell]
In1 0.0000 0.0000 0.2903 [3 per cell]
In2 0.0000 0.0000 0.7945 [3 per cell]
I1 0.0733 0.3405 0.0724 [9 per cell]
I2 0.0799 0.7386 0.5760 [9 per cell]

Entry 8:
Here is crystalline LaTaBiOs2 at its relaxed geometry from Alexandria via LeMat-Bulk. Energies are from PBE-GGA.

Calculated values
Formation enthalpy at 0 K   9.2 eV per formula unit
Total moment   0.0 μB/cell
Crystal system   tetragonal

Unit cell a=5.0197 b=5.0197 c=5.1641 alpha=90.00 beta=90.00 gamma=90.00
Space group P4/mmm (No. 123)
One atom of each set of equivalent atoms:
La1 0.0000 0.0000 0.0000 [1 per cell]
Ta1 0.5000 0.5000 0.0000 [1 per cell]
Bi1 0.5000 0.5000 0.5000 [1 per cell]
Os1 0.0000 0.5000 0.5000 [2 per cell]

Entry 9:
Here is crystalline ScPtSe2 at its relaxed geometry from Alexandria via LeMat-Bulk. Energies are from PBE-GGA.

Calculated values
Total moment   0.0 μB/cell
Crystal system   monoclinic
Energy   -5.540 eV/atom

Unit cell a=7.1852 b=3.9905 c=5.9643 alpha=90.00 beta=104.76 gamma=90.00
Space group C2/m (No. 12)
One atom of each set of equivalent atoms:
Sc1 0.0000 0.0000 0.0000 [2 per cell]
Pt1 0.0000 0.5000 0.5000 [2 per cell]
Se1 0.2245 0.5000 0.2458 [4 per cell]

Entry 10:
Here is crystalline Pr3Zn7Cu4 at its relaxed geometry from Alexandria via LeMat-Bulk. Energies are from PBE-GGA.

Calculated values
Formation enthalpy at 0 K   -3.8 eV per formula unit
Total moment   0.0 μB/cell
Crystal system   monoclinic

Unit cell a=15.7369 b=4.3839 c=8.8942 alpha=90.00 beta=123.09 gamma=90.00
Space group C2/m (No. 12)
One atom of each set of equivalent atoms:
Pr1 0.0000 0.0000 0.0000 [2 per cell]
Pr2 0.2011 0.5000 0.7027 [4 per cell]
Zn1 0.0000 0.0000 0.5000 [2 per cell]
Zn2 0.0009 0.5000 0.3028 [4 per cell]
Zn3 0.1398 0.0000 0.4215 [4 per cell]
Zn4 0.1670 0.5000 0.0199 [4 per cell]
Cu1 0.1277 0.0000 0.8410 [4 per cell]
Cu2 0.1623 0.5000 0.3019 [4 per cell]

Entry 11:
Here is crystalline Dy4HfCu5 at its relaxed geometry from Alexandria via LeMat-Bulk. Energies are from PBE-GGA.

Calculated values
Formation enthalpy at 0 K   -2.1 eV per formula unit
Total moment   0.0 μB/cell
Crystal system   tetragonal

Unit cell a=3.4107 b=3.4107 c=17.2122 alpha=90.00 beta=90.00 gamma=90.00
Space group P4/mmm (No. 123)
One atom of each set of equivalent atoms:
Dy1 0.0000 0.0000 0.1026 [2 per cell]
Dy2 0.0000 0.0000 0.3075 [2 per cell]
Hf1 0.0000 0.0000 0.5000 [1 per cell]
Cu1 0.5000 0.5000 0.0000 [1 per cell]
Cu2 0.5000 0.5000 0.2051 [2 per cell]
Cu3 0.5000 0.5000 0.4194 [2 per cell]

Entry 12:
Here is crystalline CaMg2CoPb at its relaxed geometry from Alexandria via LeMat-Bulk. Energies are from PBE-GGA.

Calculated values
Formation enthalpy at 0 K   -0.1 eV per formula unit
Total moment   0.9 μB/cell
Crystal system   tetragonal

Unit cell a=4.9262 b=4.9262 c=5.0042 alpha=90.00 beta=90.00 gamma=90.00
Space group P4/mmm (No. 123)
One atom of each set of equivalent atoms:
Ca1 0.0000 0.0000 0.0000 [1 per cell]
Mg1 0.0000 0.5000 0.5000 [2 per cell]
Co1 0.5000 0.5000 0.5000 [1 per cell]
Pb1 0.5000 0.5000 0.0000 [1 per cell]

Number 1: N(E_F) 2.25 states/eV/cell. Number 2: N(E_F) 33.84 states/eV/cell. Number 3: N(E_F) 6.25 states/eV/cell. Number 4: N(E_F) 10.54 states/eV/cell. Number 5: N(E_F) 5.13 states/eV/cell. Number 6: N(E_F) 8.66 states/eV/cell. Number 7: N(E_F) 39.69 states/eV/cell. Number 8: N(E_F) 6.71 states/eV/cell. Number 9: N(E_F) 8.60 states/eV/cell. Number 10: N(E_F) 15.84 states/eV/cell. Number 11: N(E_F) 5.47 states/eV/cell. Number 12: N(E_F) 3.21 states/eV/cell.